4
Lattice="4.4229 0.0000 0.0000 0.0000 4.4229 0.0000 0.0000 0.0000 4.2554" Properties=species:S:1:pos:R:3 comment="Ce2AlRu, relaxed, DFT PBE-GGA" formation_enthalpy_0k_kcal_per_mol_atoms=-6.92 rho_g_cm3=8.14 total_magnetization_mub_per_cell=0.0 volume_a3_per_atom=20.8 pbc="T T T"
Ce 0.0000 2.2114 0.0000
Ce 2.2114 0.0000 0.0000
Al 0.0000 0.0000 2.1277
Ru 2.2114 2.2114 2.1277


10
Lattice="-4.2311 4.2311 2.7721 4.2311 -4.2311 2.7721 4.2311 4.2311 -2.7721" Properties=species:S:1:pos:R:3 comment="Ce4AlRu5, relaxed, DFT PBE-GGA" formation_enthalpy_0k_kcal_per_mol_atoms=-7.20 rho_g_cm3=9.14 total_magnetization_mub_per_cell=0.0 volume_a3_per_atom=19.9 pbc="T T T"
Ce 2.5551 0.7910 0.0000
Ce 3.4401 -1.6761 2.7721
Ce 0.7910 5.9072 0.0000
Ce 1.6761 3.4401 2.7721
Al 0.0000 0.0000 3.7802
Ru 0.0000 0.0000 0.7534
Ru 4.8180 2.0800 -0.1850
Ru 2.0800 3.6442 -0.1850
Ru 2.1511 0.5869 2.5871
Ru -0.5869 2.1511 2.5871